Pm3MgC | Alexandria | PBE | relaxed; E_form = -0.0734 eV per atom; size of the total moment = 0.00 μB per formula unit; symmetry = Pnma (62); crystal system = orthorhombic
1.0
12.363 0.000 0.000
0.000 3.704 0.000
0.000 0.000 11.776
Pm Mg C
12 4 4
Direct
0.047 0.250 0.249
0.123 0.750 0.512
0.184 0.250 0.764
0.316 0.750 0.264
0.377 0.250 0.012
0.453 0.750 0.749
0.547 0.250 0.251
0.623 0.750 0.988
0.684 0.250 0.736
0.816 0.750 0.236
0.877 0.250 0.488
0.953 0.750 0.751
0.111 0.750 0.003
0.389 0.250 0.503
0.611 0.750 0.497
0.889 0.250 0.997
0.033 0.250 0.629
0.467 0.750 0.129
0.533 0.250 0.871
0.967 0.750 0.371

=====

CrAs3Rh | Alexandria | PBE | relaxed; offset from the most stable computed form = 0.0 meV/atom; E_form = 0.5577 eV per atom; size of the total moment = 0.00 μB per formula unit; symmetry = Pm-3m (221); crystal system = cubic
1.0
4.560 0.000 0.000
0.000 4.560 0.000
0.000 0.000 4.560
Cr As Rh
1 3 1
Direct
0.000 0.000 0.000
0.000 0.000 0.500
0.000 0.500 0.000
0.500 0.000 0.000
0.500 0.500 0.500

=====

MnAsSe2 | Alexandria | PBE | relaxed; formation energy from raw total energies = 0.06 eV/atom; size of the total moment = 2.98 μB per formula unit; symmetry = P4mm (99); crystal system = tetragonal
1.0
3.387 0.000 0.000
0.000 3.387 0.000
0.000 0.000 7.302
Mn As Se
1 1 2
Direct
0.000 0.000 0.000
0.500 0.500 0.828
0.000 0.000 0.635
0.500 0.500 0.191

=====

Nd2Mg3Zn3 | Alexandria | PBE | relaxed; E_form = -0.2783 eV per atom; size of the total moment = 0.00 μB per formula unit; symmetry = R3m (160); crystal system = trigonal
1.0
2.499 1.443 8.188
-2.499 1.443 8.188
0.000 -2.886 8.188
Nd Mg Zn
2 3 3
Direct
0.000 0.000 0.000
0.489 0.489 0.489
0.241 0.241 0.241
0.618 0.618 0.618
0.746 0.746 0.746
0.121 0.121 0.121
0.365 0.365 0.365
0.874 0.874 0.874

=====

TiCrSb | Alexandria | PBE | relaxed; formation energy from raw total energies = -0.16 eV/atom; size of the total moment = 0.98 μB per formula unit; symmetry = P4/nmm (129); crystal system = tetragonal
1.0
4.102 0.000 0.000
0.000 4.102 0.000
0.000 0.000 6.380
Ti Cr Sb
2 2 2
Direct
0.250 0.250 0.231
0.750 0.750 0.769
0.250 0.750 0.500
0.750 0.250 0.500
0.250 0.250 0.773
0.750 0.750 0.227

=====

Tc2PbSe | Alexandria | PBE | relaxed; offset from the most stable computed form = 333.9 meV/atom; formation energy from raw total energies = 0.49 eV/atom; size of the total moment = 0.00 μB per formula unit; symmetry = P4/mmm (123); crystal system = tetragonal
1.0
3.169 0.000 0.000
0.000 3.169 0.000
0.000 0.000 6.803
Tc Pb Se
2 1 1
Direct
0.000 0.000 0.215
0.000 0.000 0.785
0.500 0.500 0.500
0.500 0.500 0.000

=====

Sc3Be | Alexandria | PBE | relaxed; offset from the most stable computed form = 22.4 meV/atom; E_form = 0.0280 eV per atom; size of the total moment = 0.00 μB per formula unit; symmetry = Pnma (62); crystal system = orthorhombic
1.0
6.241 0.000 0.000
0.000 8.834 0.000
0.000 0.000 5.955
Sc Be
12 4
Direct
0.014 0.250 0.112
0.195 0.051 0.691
0.195 0.449 0.691
0.305 0.551 0.191
0.305 0.949 0.191
0.486 0.750 0.612
0.514 0.250 0.388
0.695 0.051 0.809
0.695 0.449 0.809
0.805 0.551 0.309
0.805 0.949 0.309
0.986 0.750 0.888
0.077 0.750 0.461
0.423 0.250 0.961
0.577 0.750 0.039
0.923 0.250 0.539

=====

Zn2FeAs | Alexandria | PBE | relaxed; E_form = 0.2117 eV per atom; size of the total moment = 2.47 μB per formula unit; symmetry = R-3m (166); crystal system = trigonal
1.0
1.449 0.836 8.454
-1.449 0.836 8.454
0.000 -1.673 8.454
Zn Fe As
2 1 1
Direct
0.245 0.245 0.245
0.755 0.755 0.755
0.500 0.500 0.500
0.000 0.000 0.000

=====

CdCoCu2 | Alexandria | PBE | relaxed; E_form = 0.2507 eV per atom; size of the total moment = 1.15 μB per formula unit; symmetry = I-4m2 (119); crystal system = tetragonal
1.0
-1.912 1.912 3.769
1.912 -1.912 3.769
1.912 1.912 -3.769
Cd Co Cu
1 1 2
Direct
0.000 0.000 0.000
0.250 0.750 0.500
0.500 0.500 0.000
0.750 0.250 0.500

=====

Dy5Y3Th3 | Alexandria | PBE | relaxed; E_form = 0.9225 eV per atom; size of the total moment = 0.00 μB per formula unit; symmetry = P-62m (189); crystal system = hexagonal
1.0
9.733 0.000 0.000
-4.867 8.429 0.000
0.000 0.000 5.629
Dy Y Th
5 3 3
Direct
0.000 0.723 0.000
0.277 0.277 0.000
0.333 0.667 0.000
0.667 0.333 0.000
0.723 0.000 0.000
0.000 0.529 0.500
0.471 0.471 0.500
0.529 0.000 0.500
0.000 0.367 0.000
0.367 0.000 0.000
0.633 0.633 0.000

=====

La2TmCu | Alexandria | PBE | relaxed; offset from the most stable computed form = 0.0 meV/atom; E_form = -0.0307 eV per atom; size of the total moment = 0.00 μB per formula unit; symmetry = P4/mmm (123); crystal system = tetragonal
1.0
3.712 0.000 0.000
0.000 3.712 0.000
0.000 0.000 8.497
La Tm Cu
2 1 1
Direct
0.000 0.000 0.206
0.000 0.000 0.794
0.500 0.500 0.500
0.500 0.500 0.000

=====

SmHoGa | Alexandria | PBE | relaxed; offset from the most stable computed form = 0.0 meV/atom; E_form = -0.4037 eV per atom; size of the total moment = 0.66 μB per formula unit; symmetry = P2_1/m (11); crystal system = monoclinic
1.0
7.988 0.000 0.000
0.000 4.534 0.000
-0.157 0.000 13.465
Sm Ho Ga
6 6 6
Direct
0.025 0.250 0.215
0.358 0.750 0.581
0.473 0.750 0.887
0.527 0.250 0.113
0.642 0.250 0.419
0.975 0.750 0.785
0.020 0.250 0.592
0.147 0.250 0.953
0.367 0.750 0.288
0.633 0.250 0.712
0.853 0.750 0.047
0.980 0.750 0.408
0.235 0.750 0.082
0.247 0.250 0.416
0.275 0.250 0.750
0.725 0.750 0.250
0.753 0.750 0.584
0.765 0.250 0.918

=====

ZrMn2Cr | Alexandria | PBE | relaxed; offset from the most stable computed form = 125.0 meV/atom; E_form = 0.1740 eV per atom; size of the total moment = 0.29 μB per formula unit; symmetry = Pmmm (47); crystal system = orthorhombic
1.0
3.122 0.000 0.000
0.000 4.187 0.000
0.000 0.000 4.465
Zr Mn Cr
1 2 1
Direct
0.000 0.000 0.000
0.000 0.500 0.500
0.500 0.500 0.000
0.500 0.000 0.500

=====

Ta4MoW | Alexandria | PBE | relaxed; offset from the most stable computed form = 500.7 meV/atom; E_form = 0.3850 eV per atom; size of the total moment = 0.00 μB per formula unit; symmetry = F-43m (216); crystal system = cubic
1.0
0.000 3.793 3.793
3.793 0.000 3.793
3.793 3.793 0.000
Ta Mo W
4 1 1
Direct
0.125 0.125 0.125
0.125 0.125 0.625
0.125 0.625 0.125
0.625 0.125 0.125
0.750 0.750 0.750
0.500 0.500 0.500

=====

LiPr3Zn | Alexandria | PBE | relaxed; E_form = -0.0861 eV per atom; size of the total moment = 0.00 μB per formula unit; symmetry = Cmcm (63); crystal system = orthorhombic
1.0
2.646 -10.129 0.000
2.646 10.129 0.000
0.000 0.000 5.307
Li Pr Zn
2 6 2
Direct
0.157 0.843 0.750
0.843 0.157 0.250
0.064 0.936 0.250
0.250 0.750 0.250
0.434 0.566 0.250
0.566 0.434 0.750
0.750 0.250 0.750
0.936 0.064 0.750
0.341 0.659 0.750
0.659 0.341 0.250

=====

BaZn2BiPt | Alexandria | PBE | relaxed; E_form = -0.3889 eV per atom; size of the total moment = 0.00 μB per formula unit; symmetry = P4/mmm (123); crystal system = tetragonal
1.0
4.983 0.000 0.000
0.000 4.983 0.000
0.000 0.000 5.608
Ba Zn Bi Pt
1 2 1 1
Direct
0.000 0.000 0.000
0.000 0.500 0.500
0.500 0.000 0.500
0.500 0.500 0.000
0.500 0.500 0.500

=====

LaScNiAu | Alexandria | PBE | relaxed; E_form = -0.4499 eV per atom; size of the total moment = 0.00 μB per formula unit; symmetry = F-43m (216); crystal system = cubic
1.0
0.000 3.521 3.521
3.521 0.000 3.521
3.521 3.521 0.000
La Sc Ni Au
1 1 1 1
Direct
0.000 0.000 0.000
0.500 0.500 0.500
0.250 0.250 0.250
0.750 0.750 0.750

=====

Pa6Bi3C | Alexandria | PBE | relaxed; E_form = 0.0307 eV per atom; size of the total moment = 0.00 μB per formula unit; symmetry = C2/m (12); crystal system = monoclinic
1.0
5.645 -3.241 0.000
5.645 3.241 0.000
-4.280 0.000 7.426
Pa Bi C
6 3 1
Direct
0.154 0.667 0.629
0.178 0.178 0.802
0.333 0.846 0.371
0.667 0.154 0.629
0.822 0.822 0.198
0.846 0.333 0.371
0.289 0.289 0.242
0.500 0.500 0.000
0.711 0.711 0.758
0.000 0.000 0.500

=====

Rb2LaS2 | Alexandria | PBE | relaxed; formation energy from raw total energies = -1.19 eV/atom; size of the total moment = 0.00 μB per formula unit; symmetry = P4/mbm (127); crystal system = tetragonal
1.0
8.073 0.000 0.000
0.000 8.073 0.000
0.000 0.000 5.062
Rb La S
4 2 4
Direct
0.139 0.361 0.000
0.361 0.861 0.000
0.639 0.139 0.000
0.861 0.639 0.000
0.000 0.000 0.500
0.500 0.500 0.500
0.186 0.686 0.500
0.314 0.186 0.500
0.686 0.814 0.500
0.814 0.314 0.500

=====

PrErTh2Rh4 | Alexandria | PBE | relaxed; E_form = -0.7609 eV per atom; size of the total moment = 0.00 μB per formula unit; symmetry = Fmm2 (42); crystal system = orthorhombic
1.0
0.000 5.615 4.201
3.949 0.000 4.201
3.949 5.615 0.000
Pr Er Th Rh
1 1 2 4
Direct
0.000 0.000 0.000
0.575 0.575 0.425
0.223 0.223 0.277
0.723 0.723 0.777
0.087 0.486 0.913
0.240 0.695 0.305
0.486 0.087 0.514
0.695 0.240 0.760

=====

Y8PdS3 | Alexandria | PBE | relaxed; formation energy from raw total energies = -1.07 eV/atom; size of the total moment = 0.00 μB per formula unit; symmetry = P6_3mc (186); crystal system = hexagonal
1.0
7.721 0.000 0.000
-3.860 6.686 0.000
0.000 0.000 12.663
Y Pd S
16 2 6
Direct
0.000 0.000 0.000
0.000 0.000 0.500
0.011 0.505 0.499
0.159 0.319 0.246
0.159 0.841 0.246
0.319 0.159 0.746
0.333 0.667 0.741
0.495 0.505 0.499
0.495 0.989 0.499
0.505 0.011 0.999
0.505 0.495 0.999
0.667 0.333 0.241
0.681 0.841 0.246
0.841 0.159 0.746
0.841 0.681 0.746
0.989 0.495 0.999
0.333 0.667 0.129
0.667 0.333 0.629
0.169 0.338 0.873
0.169 0.831 0.873
0.338 0.169 0.373
0.662 0.831 0.873
0.831 0.169 0.373
0.831 0.662 0.373

=====

Pm3Nd5Dy4 | Alexandria | PBE | relaxed; offset from the most stable computed form = 200.1 meV/atom; E_form = 0.2139 eV per atom; size of the total moment = 0.00 μB per formula unit; symmetry = C2/m (12); crystal system = monoclinic
1.0
8.160 -3.007 0.000
8.160 3.007 0.000
-4.139 0.000 8.416
Pm Nd Dy
3 5 4
Direct
0.000 0.000 0.000
0.292 0.292 0.772
0.708 0.708 0.228
0.076 0.076 0.699
0.174 0.174 0.386
0.500 0.500 0.000
0.826 0.826 0.614
0.924 0.924 0.301
0.287 0.287 0.122
0.418 0.418 0.559
0.582 0.582 0.441
0.713 0.713 0.878

=====

RbB3Te | Alexandria | PBE | relaxed; offset from the most stable computed form = 0.0 meV/atom; formation energy from raw total energies = 2.02 eV/atom; size of the total moment = 0.00 μB per formula unit; symmetry = Pm-3m (221); crystal system = cubic
1.0
4.733 0.000 0.000
0.000 4.733 0.000
0.000 0.000 4.733
Rb B Te
1 3 1
Direct
0.000 0.000 0.000
0.000 0.500 0.500
0.500 0.000 0.500
0.500 0.500 0.000
0.500 0.500 0.500